(1)
The following is a DFT calculation (PBE-GGA) of a relaxed U3As2Se crystal.

Unit cell a=4.9812 b=4.9812 c=6.0859 alpha=90.00 beta=90.00 gamma=120.00
With the nearest neighbours (Å) after each atom.
Element x y z (fractional)
U 0.0000 0.0000 0.5000  2 Se 3.04, 6 As 3.06
U 0.6667 0.3333 0.8287  5 As 3.03-3.05, 3 Se 3.06
As 0.3333 0.6667 0.6702  8 U 3.03-3.06
Se 0.0000 0.0000 0.0000  8 U 3.04-3.06
U 0.3333 0.6667 0.1713  5 As 3.03-3.05, 3 Se 3.06
As 0.6667 0.3333 0.3298  8 U 3.03-3.06

Output
The calculated total energy is -8.453 eV/atom. The space-group type is P-3m1 (164). The value obtained for the energy above the most stable polymorph in this dataset is 0.87 eV per formula unit. The uncorrected formation energy comes out at -0.68 eV/atom.



(2)
The following is a DFT calculation (PBE-GGA) of a relaxed Sr2LaSi crystal.

Unit cell a=11.6645 b=11.6645 c=11.6645 alpha=19.33 beta=19.33 gamma=19.33
With the nearest neighbours (Å) after each atom.
Element x y z (fractional)
Sr 0.4801 0.4801 0.4801  3 Si 3.14
La 0.2500 0.2500 0.2500  6 La 3.92, 6 Sr 4.20
Si 0.7500 0.7500 0.7500  6 Sr 3.14
Sr 0.0199 0.0199 0.0199  3 Si 3.14

Output
The calculated total energy is -3.319 eV/atom. The space-group type is R-3m (166). The uncorrected formation energy comes out at 0.11 eV/atom.



(3)
The following is a DFT calculation (PBE-GGA) of a relaxed PmTm2Te crystal.

Unit cell a=3.7652 b=3.7652 c=11.0914 alpha=80.23 beta=80.23 gamma=60.00
With the nearest neighbours (Å) after each atom.
Element x y z (fractional)
Tm 0.1033 0.1033 0.6900  3 Te 3.00
Pm 0.0000 0.0000 0.0000  2 Tm 3.37, 6 Pm 3.77
Te 0.5000 0.5000 0.5000  6 Tm 3.00
Tm 0.8967 0.8967 0.3100  3 Te 3.00

Output
The calculated total energy is -4.404 eV/atom. The space-group type is R-3m (166). The value obtained for the energy above the most stable polymorph in this dataset is 1.77 eV per formula unit. The uncorrected formation energy comes out at -0.20 eV/atom.



(4)
The following is a DFT calculation (PBE-GGA) of a relaxed HgBi2Cl8 crystal.

Unit cell a=10.1957 b=7.1872 c=7.1389 alpha=59.78 beta=84.88 gamma=79.80
With the nearest neighbours (Å) after each atom.
Element x y z (fractional)
Hg 0.5000 0.0000 0.0000  2 Cl 2.28
Cl 0.1519 0.9608 0.6382  2 Bi 2.74-2.75
Cl 0.8481 0.4010 0.6382  2 Bi 2.74-2.75
Cl 0.1593 0.3364 0.0000  2 Bi 2.77
Cl 0.8481 0.0392 0.3618  2 Bi 2.74-2.75
Cl 0.5000 0.8149 0.3703  1 Hg 2.28
Cl 0.1519 0.5990 0.3618  2 Bi 2.74-2.75
Bi 0.0000 0.3318 0.3363  6 Cl 2.74-2.77
Cl 0.8407 0.6636 0.0000  2 Bi 2.77
Cl 0.5000 0.1851 0.6297  1 Hg 2.28
Bi 0.0000 0.6682 0.6637  6 Cl 2.74-2.77

Output
The calculated total energy is -2.939 eV/atom. The space-group type is C2/m (12). The value obtained for the energy above the most stable polymorph in this dataset is 0.00 eV per formula unit. The uncorrected formation energy comes out at -0.86 eV/atom.



(5)
The following is a DFT calculation (PBE-GGA) of a relaxed MnSi2HI crystal.

Unit cell a=3.7613 b=5.1986 c=3.7613 alpha=90.00 beta=90.00 gamma=90.00
With the nearest neighbours (Å) after each atom.
Element x y z (fractional)
Mn 0.5000 0.5000 0.5000  4 I 2.66
I 0.0000 0.5000 0.0000  2 H 2.60, 4 Mn 2.66
H 0.0000 0.0000 0.0000  4 Si 1.88
Si 0.0000 0.0000 0.5000  2 H 1.88
Si 0.5000 0.0000 0.0000  2 H 1.88

Output
The calculated total energy is -3.964 eV/atom. The space-group type is P4/mmm (123).



(6)
The following is a DFT calculation (PBE-GGA) of a relaxed CaLa4H8 crystal.

Unit cell a=5.9619 b=5.9619 c=5.9619 alpha=90.00 beta=90.00 gamma=90.00
With the nearest neighbours (Å) after each atom.
Element x y z (fractional)
H 0.2721 0.7279 0.7279  1 Ca 2.35, 3 La 2.51
H 0.7279 0.7279 0.2721  1 Ca 2.35, 3 La 2.51
Ca 0.5000 0.5000 0.5000  8 H 2.35
La 0.0000 0.5000 0.5000  8 H 2.51
H 0.7279 0.7279 0.7279  1 Ca 2.35, 3 La 2.51
La 0.5000 0.0000 0.5000  8 H 2.51
H 0.7279 0.2721 0.7279  1 Ca 2.35, 3 La 2.51
La 0.0000 0.0000 0.0000  8 H 2.81
H 0.2721 0.2721 0.2721  1 Ca 2.35, 3 La 2.51
H 0.2721 0.7279 0.2721  1 Ca 2.35, 3 La 2.51
H 0.7279 0.2721 0.2721  1 Ca 2.35, 3 La 2.51
La 0.5000 0.5000 0.0000  8 H 2.51
H 0.2721 0.2721 0.7279  1 Ca 2.35, 3 La 2.51

Output
The calculated total energy is -4.030 eV/atom. The space-group type is Pm-3m (221).



(7)
The following is a DFT calculation (PBE-GGA) of a relaxed MgSiRu crystal.

Unit cell a=4.4720 b=4.6473 c=5.4454 alpha=112.15 beta=91.15 gamma=101.73
With the nearest neighbours (Å) after each atom.
Element x y z (fractional)
Ru 0.7152 0.3223 0.0766  4 Si 2.36-2.47
Mg 0.2765 0.6396 0.4091  4 Ru 2.72-2.93, 2 Si 2.82-2.92, 2 Mg 2.92-2.93
Si 0.8203 0.8530 0.1027  4 Ru 2.36-2.47, 1 Si 2.46
Ru 0.2848 0.6777 0.9234  4 Si 2.36-2.47
Mg 0.7235 0.3604 0.5909  4 Ru 2.72-2.93, 2 Si 2.82-2.92, 2 Mg 2.92-2.93
Si 0.1797 0.1470 0.8973  4 Ru 2.36-2.47, 1 Si 2.46

Output
The calculated total energy is -5.827 eV/atom. The space-group type is P-1 (2). The uncorrected formation energy comes out at -0.40 eV/atom.



(8)
The following is a DFT calculation (PBE-GGA) of a relaxed RbTiAg2Br8 crystal.

Unit cell a=6.5822 b=7.1209 c=9.9973 alpha=63.39 beta=85.46 gamma=94.72
With the nearest neighbours (Å) after each atom.
Element x y z (fractional)
Br 0.1277 0.7515 0.2444  1 Ti 2.55
Br 0.2724 0.2942 0.9653  1 Ti 2.52, 1 Ag 2.72
Br 0.5056 0.2749 0.4465  2 Ag 2.68-2.71
Ag 0.5576 0.7033 0.2931  5 Br 2.68-2.93
Br 0.7617 0.1200 0.1481  1 Ti 2.52, 1 Ag 2.81
Ag 0.4424 0.2967 0.7069  5 Br 2.68-2.93
Rb 0.0000 0.0000 0.5000  8 Br 3.59-3.89
Br 0.2383 0.8800 0.8519  1 Ti 2.52, 1 Ag 2.81
Br 0.8723 0.2485 0.7556  1 Ti 2.55
Ti 0.0000 0.0000 0.0000  6 Br 2.52-2.55
Br 0.7276 0.7058 0.0347  1 Ti 2.52, 1 Ag 2.72
Br 0.4944 0.7251 0.5535  2 Ag 2.68-2.71

Output
The calculated total energy is -3.198 eV/atom. The space-group type is P-1 (2). The uncorrected formation energy comes out at -0.87 eV/atom.



(9)
The following is a DFT calculation (PBE-GGA) of a relaxed Hf2TiAgH crystal.

Unit cell a=4.3915 b=4.3915 c=4.1294 alpha=90.00 beta=90.00 gamma=90.00
With the nearest neighbours (Å) after each atom.
Element x y z (fractional)
Hf 0.5000 0.0000 0.0000  2 H 2.20
Ag 0.5000 0.5000 0.5000  8 Hf 3.01, 4 Ti 3.11
Hf 0.0000 0.5000 0.0000  2 H 2.20
Ti 0.0000 0.0000 0.5000  2 H 2.06
H 0.0000 0.0000 0.0000  2 Ti 2.06, 4 Hf 2.20

Output
The calculated total energy is -6.873 eV/atom. The space-group type is P4/mmm (123).



(10)
The following is a DFT calculation (PBE-GGA) of a relaxed U2CS crystal.

Unit cell a=6.6267 b=6.6267 c=6.6267 alpha=31.78 beta=31.78 gamma=31.78
With the nearest neighbours (Å) after each atom.
Element x y z (fractional)
S 0.5000 0.5000 0.5000  6 U 2.76
C 0.0000 0.0000 0.0000  6 U 2.49
U 0.2616 0.2616 0.2616  3 C 2.49, 3 S 2.76
U 0.7384 0.7384 0.7384  3 C 2.49, 3 S 2.76

Output
The calculated total energy is -9.740 eV/atom. The space-group type is R-3m (166). The uncorrected formation energy comes out at -0.76 eV/atom.



(11)
The following is a DFT calculation (PBE-GGA) of a relaxed YAs4Rh crystal.

Unit cell a=5.5070 b=5.5070 c=5.5070 alpha=60.00 beta=60.00 gamma=60.00
With the nearest neighbours (Å) after each atom.
Element x y z (fractional)
As 0.3761 0.3761 0.8718  6 As 2.73-2.78
Rh 0.7500 0.7500 0.7500  12 As 3.23, 4 Y 3.37
As 0.3761 0.8718 0.3761  6 As 2.73-2.78
Y 0.0000 0.0000 0.0000  12 As 3.23, 4 Rh 3.37
As 0.3761 0.3761 0.3761  6 As 2.73-2.78
As 0.8718 0.3761 0.3761  6 As 2.73-2.78

Output
The calculated total energy is -5.392 eV/atom. The space-group type is F-43m (216). For the energy of formation from the pure elements, the calculation gives 1.0 kJ/mol of atoms.



(12)
The following is a DFT calculation (PBE-GGA) of a relaxed Ca5AcHg6 crystal.

Unit cell a=5.4515 b=7.6913 c=8.5752 alpha=90.00 beta=108.57 gamma=90.00
With the nearest neighbours (Å) after each atom.
Element x y z (fractional)
Ca 0.6704 0.0000 0.3393  8 Hg 3.27-3.40
Hg 0.8276 0.2559 0.6601  7 Ca 3.27-3.37, 1 Ac 3.39
Hg 0.5000 0.7420 0.0000  6 Ca 3.27-3.40, 2 Ac 3.37
Ca 0.0000 0.5000 0.0000  8 Hg 3.30-3.34
Ca 0.3296 0.0000 0.6607  8 Hg 3.27-3.40
Ca 0.3337 0.5000 0.6699  8 Hg 3.27-3.32
Ac 0.0000 0.0000 0.0000  8 Hg 3.37-3.39
Hg 0.5000 0.2580 0.0000  6 Ca 3.27-3.40, 2 Ac 3.37
Hg 0.8276 0.7441 0.6601  7 Ca 3.27-3.37, 1 Ac 3.39
Hg 0.1724 0.7441 0.3399  7 Ca 3.27-3.37, 1 Ac 3.39
Hg 0.1724 0.2559 0.3399  7 Ca 3.27-3.37, 1 Ac 3.39
Ca 0.6663 0.5000 0.3301  8 Hg 3.27-3.32

Output
The calculated total energy is -1.872 eV/atom. The space-group type is P2/m (10). For the energy of formation from the pure elements, the calculation gives -52.5 kJ/mol of atoms.



What did the fifth record say?
The following is a DFT calculation (PBE-GGA) of a relaxed MnSi2HI crystal.

Unit cell a=3.7613 b=5.1986 c=3.7613 alpha=90.00 beta=90.00 gamma=90.00
With the nearest neighbours (Å) after each atom.
Element x y z (fractional)
Mn 0.5000 0.5000 0.5000  4 I 2.66
I 0.0000 0.5000 0.0000  2 H 2.60, 4 Mn 2.66
H 0.0000 0.0000 0.0000  4 Si 1.88
Si 0.0000 0.0000 0.5000  2 H 1.88
Si 0.5000 0.0000 0.0000  2 H 1.88

Output
The calculated total energy is -3.964 eV/atom. The space-group type is P4/mmm (123).



What is the calculated total energy in the sixth record?
-4.030 eV/atom



Among the records above, which one has the highest calculated total energy?
Ca5AcHg6



Among the records above, which one has the highest calculated total energy?
Ca5AcHg6